Computed, not measured: YMo3I after structural relaxation at the PBE level of DFT.

Output
Symmetry: No. 221
Raw formation energy: 2594.5 meV per atom
Volume: 24.6 Å³/atom

The structure in POSCAR format:
```
YMo3I
1.0
4.973 0.000 0.000
0.000 4.973 0.000
0.000 0.000 4.973
Y Mo I
1 3 1
Cartesian
0.000 0.000 0.000 Y
0.000 0.000 2.487 Mo
0.000 2.487 0.000 Mo
2.487 0.000 0.000 Mo
2.487 2.487 2.487 I
```